# 1
# CsC3S GGA-PBE optimized geometry
data_CsC3S
_space_group_name_H-M_alt 'P m -3 m'
_space_group_IT_number 221
_space_group_name_Hall '-P 4 2 3'
_cell_length_a 4.123
_cell_length_b 4.123
_cell_length_c 4.123
_cell_angle_alpha 90.00
_cell_angle_beta 90.00
_cell_angle_gamma 90.00
loop_
_atom_site_label
_atom_site_type_symbol
_atom_site_fract_x
_atom_site_fract_y
_atom_site_fract_z
Cs1 Cs 0.000 0.000 0.000
C1 C 0.000 0.500 0.500
S1 S 0.500 0.500 0.500
# E above lowest polymorph, eV/atom: 0.000
# ΔE_f (raw), eV per atom: 2.985
# DFT total energy, eV per atom: -3.545

=====

# 2
# Pr2CdSn3Pt4 GGA-PBE optimized geometry
data_Pr2CdSn3Pt4
_space_group_name_H-M_alt 'P -4 m 2'
_space_group_IT_number 115
_cell_length_a 4.576
_cell_length_b 4.576
_cell_length_c 10.884
_cell_angle_alpha 90.00
_cell_angle_beta 90.00
_cell_angle_gamma 90.00
loop_
_space_group_symop_operation_xyz
'x,y,z'
'y,-x,-z'
'-x,-y,z'
'-y,x,-z'
'-x,y,z'
'-y,-x,-z'
'x,-y,z'
'y,x,-z'
loop_
_atom_site_label
_atom_site_type_symbol
_atom_site_fract_x
_atom_site_fract_y
_atom_site_fract_z
Pr1 Pr 0.000 0.500 0.246
Cd1 Cd 0.000 0.000 0.500
Sn1 Sn 0.000 0.500 0.873
Sn2 Sn 0.500 0.500 0.500
Pt1 Pt 0.000 0.000 0.000
Pt2 Pt 0.000 0.500 0.636
Pt3 Pt 0.500 0.500 0.000
# Calculated formation energy, eV/atom: -0.79
# DFT total energy, eV per atom: -5.458

=====

# 3
# KTa4Pb GGA-PBE optimized geometry
data_KTa4Pb
_space_group_name_H-M_alt 'F -4 3 m'
_space_group_IT_number 216
_space_group_name_Hall 'F -4 2 3'
_cell_length_a 8.157
_cell_length_b 8.157
_cell_length_c 8.157
_cell_angle_alpha 90.00
_cell_angle_beta 90.00
_cell_angle_gamma 90.00
loop_
_atom_site_label
_atom_site_type_symbol
_atom_site_fract_x
_atom_site_fract_y
_atom_site_fract_z
K1 K 0.000 0.000 0.000
Ta1 Ta 0.130 0.130 0.370
Pb1 Pb 0.250 0.250 0.750
# Calculated formation energy, eV/atom: 0.96
# DFT total energy, eV per atom: -7.746

=====

> Which of these has the highest DFT total energy?

CsC3S

=====

> Number 1 is which compound?

CsC3S